1.
Below is an optimized crystal structure of Pr2TmSc, with properties calculated at the GGA-PBE level.

Cell: 5.682 12.349 7.276 Å, 90.00 90.00 90.00°
Positions (direct):
1 Pr 0.443 0.588 0.002
2 Sc 0.443 0.833 0.750
3 Sc 0.943 0.167 0.250
4 Pr 0.443 0.588 0.498
5 Sc 0.443 0.333 0.750
6 Pr 0.943 0.912 0.502
7 Tm 0.443 0.830 0.250
8 Pr 0.443 0.088 0.498
9 Pr 0.943 0.412 0.998
10 Tm 0.943 0.670 0.750
11 Pr 0.443 0.088 0.002
12 Sc 0.943 0.667 0.250
13 Tm 0.443 0.330 0.250
14 Pr 0.943 0.412 0.502
15 Pr 0.943 0.912 0.998
16 Tm 0.943 0.170 0.750

Results
E_form ... 0.045 eV per atom
Offset from the most stable computed form ... 0.0056 eV/atom
N(E_F) ... 1.716 states/eV/atom



2.
Below is an optimized crystal structure of RbLaPb2, with properties calculated at the GGA-PBE level.

Cell: 5.868 5.868 5.868 Å, 60.00 60.00 60.00°
Positions (direct):
1 Rb 0.000 0.000 0.000
2 La 0.500 0.500 0.500
3 Pb 0.250 0.250 0.250
4 Pb 0.750 0.750 0.750

Results
E_form ... -0.137 eV per atom
Offset from the most stable computed form ... 0.1984 eV/atom
N(E_F) ... 0.743 states/eV/atom



3.
Below is an optimized crystal structure of CrFeS, with properties calculated at the GGA-PBE level.

Cell: 3.773 2.625 8.877 Å, 81.50 90.00 90.00°
Positions (direct):
1 Cr 0.750 0.092 0.817
2 S 0.750 0.342 0.317
3 Fe 0.750 0.464 0.071
4 S 0.250 0.658 0.683
5 Fe 0.250 0.536 0.929
6 Cr 0.250 0.908 0.183

Results
N(E_F) ... 0.813 states/eV/atom
Formation energy without anion corrections ... -0.009 eV/atom



4.
Below is an optimized crystal structure of Fe2Ag2I7, with properties calculated at the GGA-PBE level.

Cell: 7.840 7.840 10.814 Å, 93.36 93.36 121.81°
Positions (direct):
1 I 0.865 0.544 0.813
2 I 0.135 0.456 0.187
3 Fe 0.461 0.461 0.256
4 Ag 0.609 0.391 0.000
5 I 0.544 0.865 0.813
6 I 0.500 0.500 0.500
7 Ag 0.391 0.609 0.000
8 Fe 0.539 0.539 0.744
9 I 0.229 0.229 0.819
10 I 0.771 0.771 0.181
11 I 0.456 0.135 0.187

Results
N(E_F) ... 0.595 states/eV/atom
Formation energy without anion corrections ... -0.149 eV/atom